Record 1
{"formula": "LiCoPO4", "functional": "PBE with a Hubbard U", "state": "optimized geometry", "dos_ef_per_ev_atom": 0.000, "e_above_lowest_polymorph_mev_per_atom": 66, "lattice_angstrom": [[5.147, 0.000, 0.000], [2.573, 4.459, 0.000], [0.005, 2.959, 7.976]], "species": ["Li", "Li", "Co", "Co", "P", "P", "O", "O", "O", "O", "O", "O", "O", "O"], "frac_coords": [[0.121, 0.256, 0.366], [0.879, 0.744, 0.634], [0.269, 0.962, 0.807], [0.731, 0.038, 0.193], [0.412, 0.676, 0.237], [0.588, 0.324, 0.763], [0.141, 0.910, 0.304], [0.287, 0.355, 0.696], [0.348, 0.802, 0.047], [0.447, 0.339, 0.303], [0.553, 0.661, 0.697], [0.652, 0.198, 0.953], [0.713, 0.645, 0.304], [0.859, 0.090, 0.696]]}


Record 2
{"formula": "V3Se4O2", "functional": "PBE with a Hubbard U", "state": "optimized geometry", "dos_ef_per_ev_atom": 0.424, "lattice_angstrom": [[3.167, 0.000, 0.000], [-1.584, 2.743, 0.000], [0.000, 0.000, 19.256]], "species": ["V", "V", "V", "Se", "Se", "Se", "Se", "O", "O"], "frac_coords": [[0.000, 0.000, 0.000], [0.000, 0.000, 0.319], [0.667, 0.333, 0.703], [0.000, 0.000, 0.616], [0.000, 0.000, 0.791], [0.667, 0.333, 0.232], [0.667, 0.333, 0.407], [0.667, 0.333, 0.057], [0.667, 0.333, 0.942]]}


| no. | E_tot (eV/atom) |
| --- | --- |
| 1 | -6.58 |
| 2 | -5.63 |